Entry 1:
CeNi2Ge2As | PBE | optimized geometry

Values from the calculation:
Crystal system ... tetragonal
D(E_F) ... 6.2 states/eV/cell
ΔH_f (0 K) ... -0.311 eV per atom
VASP energy ... -33.25 eV per formula unit

a b c (Å): 4.4336 4.4336 5.6277
angles (deg): 90.00 90.00 90.00
With the nearest neighbours (Å) after each atom.
Atoms (fractional coordinates):
Ce  0.0000  0.0000  0.0000  2 As 2.81
Ni  0.0000  0.5000  0.5000  2 As 2.22
Ni  0.5000  0.0000  0.5000  2 As 2.22
Ge  0.5000  0.5000  0.2295  1 Ge 2.58, 4 Ni 2.69
Ge  0.5000  0.5000  0.7705  1 Ge 2.58, 4 Ni 2.69
As  0.0000  0.0000  0.5000  4 Ni 2.22

---

Entry 2:
CePaGeAs | PBE | optimized geometry

Values from the calculation:
Crystal system ... trigonal
D(E_F) ... 20.9 states/eV/cell
ΔH_f (0 K) ... -0.906 eV per atom
VASP energy ... -28.32 eV per formula unit

a b c (Å): 4.1713 4.1713 20.4457
angles (deg): 90.00 90.00 120.00
With the nearest neighbours (Å) after each atom.
Atoms (fractional coordinates):
Ce  0.0000  0.0000  0.0000  3 As 2.99, 3 Ge 2.99
Ce  0.3333  0.6667  0.6667  3 As 2.99, 3 Ge 2.99
Ce  0.6667  0.3333  0.3333  3 As 2.99, 3 Ge 2.99
Pa  0.0000  0.0000  0.5001  3 Ge 2.91, 3 As 2.91
Pa  0.3333  0.6667  0.1667  3 Ge 2.91, 3 As 2.91
Pa  0.6667  0.3333  0.8334  3 Ge 2.91, 3 As 2.91
Ge  0.0000  0.0000  0.7537  3 Pa 2.91, 3 Ce 2.99
Ge  0.3333  0.6667  0.4204  3 Pa 2.91, 3 Ce 2.99
Ge  0.6667  0.3333  0.0871  3 Pa 2.91, 3 Ce 2.99
As  0.0000  0.0000  0.2469  3 Pa 2.91, 3 Ce 2.99
As  0.3333  0.6667  0.9136  3 Pa 2.91, 3 Ce 2.99
As  0.6667  0.3333  0.5802  3 Pa 2.91, 3 Ce 2.99

---

Entry 3:
Ce2Ge3AsPt4 | PBE | optimized geometry

Values from the calculation:
Crystal system ... tetragonal
D(E_F) ... 12.9 states/eV/cell
ΔH_f (0 K) ... -0.889 eV per atom
VASP energy ... -63.42 eV per formula unit

a b c (Å): 4.4418 4.4418 9.8418
angles (deg): 90.00 90.00 90.00
With the nearest neighbours (Å) after each atom.
Atoms (fractional coordinates):
Ce  0.0000  0.5000  0.2492  6 Ge 3.31-3.36, 2 As 3.31, 9 Pt 3.32-3.65
Ce  0.5000  0.0000  0.7508  6 Ge 3.31-3.36, 2 As 3.31, 9 Pt 3.32-3.65
Ge  0.0000  0.0000  0.0000  4 Pt 2.53
Ge  0.0000  0.5000  0.6286  5 Pt 2.45-2.56
Ge  0.5000  0.0000  0.3714  5 Pt 2.45-2.56
As  0.5000  0.5000  0.0000  4 Pt 2.53
Pt  0.0000  0.0000  0.5000  4 Ge 2.56
Pt  0.0000  0.5000  0.8779  3 Ge 2.45-2.53, 2 As 2.53
Pt  0.5000  0.0000  0.1221  3 Ge 2.45-2.53, 2 As 2.53
Pt  0.5000  0.5000  0.5000  4 Ge 2.56

---

Copy entry 2 word for word.
CePaGeAs | PBE | optimized geometry

Values from the calculation:
Crystal system ... trigonal
D(E_F) ... 20.9 states/eV/cell
ΔH_f (0 K) ... -0.906 eV per atom
VASP energy ... -28.32 eV per formula unit

a b c (Å): 4.1713 4.1713 20.4457
angles (deg): 90.00 90.00 120.00
With the nearest neighbours (Å) after each atom.
Atoms (fractional coordinates):
Ce  0.0000  0.0000  0.0000  3 As 2.99, 3 Ge 2.99
Ce  0.3333  0.6667  0.6667  3 As 2.99, 3 Ge 2.99
Ce  0.6667  0.3333  0.3333  3 As 2.99, 3 Ge 2.99
Pa  0.0000  0.0000  0.5001  3 Ge 2.91, 3 As 2.91
Pa  0.3333  0.6667  0.1667  3 Ge 2.91, 3 As 2.91
Pa  0.6667  0.3333  0.8334  3 Ge 2.91, 3 As 2.91
Ge  0.0000  0.0000  0.7537  3 Pa 2.91, 3 Ce 2.99
Ge  0.3333  0.6667  0.4204  3 Pa 2.91, 3 Ce 2.99
Ge  0.6667  0.3333  0.0871  3 Pa 2.91, 3 Ce 2.99
As  0.0000  0.0000  0.2469  3 Pa 2.91, 3 Ce 2.99
As  0.3333  0.6667  0.9136  3 Pa 2.91, 3 Ce 2.99
As  0.6667  0.3333  0.5802  3 Pa 2.91, 3 Ce 2.99

---

Look up the VASP energy of the second one.
-28.32 eV per formula unit